First-principles (GGA-PBE) data for an optimized crystal structure of LiLa3Tl, as listed in Alexandria via LeMat-Bulk.

Summary:
E_form   0.2333 eV per atom
Energy relative to the lowest polymorph listed for this composition   0.3518 eV/atom
DOS at the Fermi energy   7.53 states/eV/f.u.
DFT total energy   -0.263 Ry per atom
SG   No. 221
Magnetization   0.0 μB per formula unit

The structure in POSCAR format:
```
LiLa3Tl
1.0
5.385 0.000 0.000
0.000 5.385 0.000
0.000 0.000 5.385
Li La Tl
1 3 1
Cartesian
0.000 0.000 0.000
0.000 2.692 0.000
2.692 0.000 0.000
0.000 0.000 2.692
2.692 2.692 2.692
```

***

First-principles (GGA-PBE) data for an optimized crystal structure of Li5La3Tl6, as listed in Alexandria via LeMat-Bulk.

Summary:
E_form   -0.3105 eV per atom
DOS at the Fermi energy   10.41 states/eV/f.u.
DFT total energy   -0.225 Ry per atom
SG   No. 59
Magnetization   0.0 μB per formula unit

The structure in POSCAR format:
```
Li5La3Tl6
1.0
-0.024 3.283 3.748
-4.027 -6.450 5.625
13.415 -4.706 4.207
La Tl Li
6 12 10
Cartesian
7.542 -6.847 9.358
-0.929 -1.488 1.298
3.598 -5.674 8.305
8.542 -5.021 4.452
2.800 -3.006 2.651
-0.131 -4.155 6.951
7.488 -10.158 8.946
8.596 -1.709 4.864
9.773 -4.840 7.614
-3.827 -4.469 7.203
0.496 -1.586 4.704
-1.787 -6.904 6.037
4.456 -0.257 3.565
-2.430 -2.233 5.253
6.496 -2.692 2.399
6.312 -7.028 6.196
2.173 -5.576 4.898
5.100 -4.929 4.350
3.087 -3.049 6.003
10.890 -3.012 6.020
1.017 -7.390 6.480
5.784 -2.172 5.252
1.652 0.228 3.123
-3.115 -4.989 4.351
6.613 -4.286 7.109
9.471 -7.581 6.701
5.195 -8.855 7.790
-0.418 -4.112 3.600
```

***

First-principles (GGA-PBE) data for an optimized crystal structure of Li4La9Tl11, as listed in Alexandria via LeMat-Bulk.

Summary:
E_form   -0.3338 eV per atom
DOS at the Fermi energy   19.88 states/eV/f.u.
DFT total energy   -0.263 Ry per atom
SG   No. 65
Magnetization   0.8 μB per formula unit

The structure in POSCAR format:
```
Li4La9Tl11
1.0
-1.495 0.122 3.298
-12.668 2.494 -5.834
2.259 -13.902 1.537
Tl Li La
11 4 9
Cartesian
-7.329 -3.371 -3.197
-3.080 -8.037 -1.100
-3.192 -3.499 -1.318
-5.180 -11.294 -1.931
-0.110 -5.737 0.162
-5.229 -0.114 -2.366
0.000 0.000 0.000
-10.450 0.057 -4.739
-10.299 -5.671 -4.459
0.041 -11.466 0.441
-7.217 -7.910 -2.979
-2.971 -5.732 0.854
-6.030 -2.373 -0.656
-5.874 -8.914 -0.344
-8.933 -5.555 -1.854
-8.556 -0.252 -1.879
-10.863 -2.781 -2.831
-3.348 -11.035 0.879
-10.740 -8.474 -2.566
-3.367 -0.393 0.478
-1.164 -2.813 1.566
-5.952 -5.643 -0.500
-1.040 -8.506 1.832
-8.537 -10.894 -1.478
```

***

First-principles (GGA-PBE) data for an optimized crystal structure of Li15La6Tl8, as listed in Alexandria via LeMat-Bulk.

Summary:
E_form   -0.1815 eV per atom
DOS at the Fermi energy   21.66 states/eV/f.u.
DFT total energy   -0.209 Ry per atom
SG   No. 225
Magnetization   2.6 μB per formula unit

The structure in POSCAR format:
```
Li15La6Tl8
1.0
-1.708 9.782 0.446
1.113 4.853 8.603
7.579 6.319 1.197
La Tl Li
6 8 15
Cartesian
5.208 8.731 3.474
2.493 8.115 6.585
1.775 12.223 6.772
5.676 10.769 7.088
1.308 10.185 3.159
4.491 12.839 3.661
6.103 18.313 8.954
0.880 2.642 1.292
1.432 5.047 5.557
6.950 13.463 8.733
0.033 7.491 1.513
2.346 15.180 8.361
5.551 15.907 4.689
4.638 5.774 1.885
6.985 16.040 7.276
2.269 6.808 3.329
2.781 3.877 3.196
-0.854 4.891 0.223
-0.002 4.915 2.970
-0.298 7.317 4.525
0.000 0.000 0.000
1.935 5.354 0.751
5.048 15.600 9.495
3.789 3.160 0.599
4.346 5.586 4.900
0.557 2.426 4.302
2.935 8.051 0.821
4.715 14.146 6.917
4.203 17.077 7.051
```

***

First-principles (GGA-PBE) data for an optimized crystal structure of LiLa3Tl2, as listed in Alexandria via LeMat-Bulk.

Summary:
E_form   -0.2857 eV per atom
Energy relative to the lowest polymorph listed for this composition   0.0000 eV/atom
DOS at the Fermi energy   8.06 states/eV/f.u.
DFT total energy   -0.283 Ry per atom
SG   No. 164
Magnetization   0.0 μB per formula unit

The structure in POSCAR format:
```
LiLa3Tl2
1.0
-4.356 -1.934 -2.937
5.126 -0.026 -2.250
2.158 -12.549 5.062
Li Tl La
2 4 6
Cartesian
-0.485 -5.429 -1.041
3.413 -9.080 0.916
1.079 -6.274 2.531
2.349 -2.896 -1.578
0.578 -11.613 1.453
0.000 0.000 0.000
3.947 -12.189 2.171
-1.020 -2.320 -2.296
1.620 -9.423 3.801
0.056 -8.575 0.228
0.537 -3.126 1.261
2.872 -5.934 -0.353
```

***

First-principles (GGA-PBE) data for an optimized crystal structure of Li2LaTl2, as listed in Alexandria via LeMat-Bulk.

Summary:
E_form   -0.2660 eV per atom
Energy relative to the lowest polymorph listed for this composition   0.0093 eV/atom
DOS at the Fermi energy   2.94 states/eV/f.u.
DFT total energy   -0.218 Ry per atom
SG   No. 127
Magnetization   0.3 μB per formula unit

The structure in POSCAR format:
```
Li2LaTl2
1.0
-4.385 -5.038 -5.422
-2.587 -4.861 6.610
-2.605 1.878 0.362
La Tl Li
2 4 4
Cartesian
-3.486 -4.950 0.594
0.000 0.000 0.000
-3.832 -3.246 3.696
-5.746 -4.775 -2.146
-3.177 -1.549 -0.397
-6.401 -6.472 1.947
-3.006 -3.673 -2.572
-3.966 -6.226 3.760
-1.503 -2.451 1.902
-5.469 -7.448 -0.714
```

***

First-principles (GGA-PBE) data for an optimized crystal structure of Li2La2Tl5, as listed in Alexandria via LeMat-Bulk.

Summary:
E_form   -0.2786 eV per atom
DOS at the Fermi energy   5.66 states/eV/f.u.
DFT total energy   -0.229 Ry per atom
SG   No. 123
Magnetization   0.0 μB per formula unit

The structure in POSCAR format:
```
Li2La2Tl5
1.0
-1.718 4.454 -1.244
-3.556 -0.423 3.393
5.896 4.145 6.696
Tl La Li
5 2 2
Cartesian
2.648 2.900 6.723
-0.308 0.822 3.366
0.311 4.088 4.422
0.611 3.260 1.047
3.567 5.338 4.404
2.948 2.073 3.348
0.000 0.000 0.000
2.509 5.633 6.919
-1.887 2.542 1.926
```

***

First-principles (GGA-PBE) data for an optimized crystal structure of Li2LaTl, as listed in Alexandria via LeMat-Bulk.

Summary:
E_form   -0.2233 eV per atom
Energy relative to the lowest polymorph listed for this composition   0.0416 eV/atom
DOS at the Fermi energy   1.86 states/eV/f.u.
DFT total energy   -0.221 Ry per atom
SG   No. 8
Magnetization   0.0 μB per formula unit

The structure in POSCAR format:
```
Li2LaTl
1.0
5.230 -0.019 0.026
2.627 4.522 0.026
2.601 1.491 4.295
Tl Li La
1 2 1
Cartesian
5.230 2.997 2.178
7.843 4.495 3.261
2.602 1.491 4.292
2.615 1.499 1.087
```